[1]
An optimized crystal structure of Li2SnP2O7, computed with PBE.

## Properties
Its formation energy from raw total energies is -2079 meV per atom. Its distance to the lowest polymorph of the same formula is 68 meV/atom.

abc: 15.8209 5.2461 9.4300
angles: 90.00 116.06 90.00
Space group C2/c (No. 15)
Symmetry-distinct sites (fractional):
Li1 0.1971 0.1487 0.0589 (multiplicity 8)
Sn1 0.0000 0.0000 0.0000 (multiplicity 4)
P1 0.1089 0.3727 0.3190 (multiplicity 8)
O1 0.0000 0.4858 0.2500 (multiplicity 4)
O2 0.1172 0.1618 0.4386 (multiplicity 8)
O3 0.1208 0.2618 0.1771 (multiplicity 8)
O4 0.1707 0.3971 0.8897 (multiplicity 8)

***

[2]
An optimized crystal structure of Tb4Pm11Dy9, computed with PBE.

## Properties
Its formation energy is 0.056 eV per atom.

abc: 16.9428 25.6368 3.6682
angles: 90.00 90.00 90.00
Space group Cmmm (No. 65)
Symmetry-distinct sites (fractional):
Tb1 0.1566 0.1014 0.0000 (multiplicity 8)
Pm1 0.0000 0.1320 0.5000 (multiplicity 4)
Pm2 0.0000 0.3397 0.5000 (multiplicity 4)
Pm3 0.0000 0.5000 0.5000 (multiplicity 2)
Pm4 0.2081 0.0000 0.5000 (multiplicity 4)
Pm5 0.2248 0.3189 0.5000 (multiplicity 8)
Dy1 0.0000 0.0000 0.0000 (multiplicity 2)
Dy2 0.1020 0.2332 0.0000 (multiplicity 8)
Dy3 0.1403 0.4271 0.0000 (multiplicity 8)

***

[3]
An optimized crystal structure of LiPrSmRe, computed with PBE.

## Properties
Its formation energy is 0.168 eV per atom.

abc: 7.1419 7.1419 7.1419
angles: 90.00 90.00 90.00
Space group F-43m (No. 216)
Symmetry-distinct sites (fractional):
Li1 0.0000 0.0000 0.0000 (multiplicity 4)
Pr1 0.2500 0.2500 0.2500 (multiplicity 4)
Sm1 0.2500 0.2500 0.7500 (multiplicity 4)
Re1 0.0000 0.0000 0.5000 (multiplicity 4)

***

[4]
An optimized crystal structure of AlCoHIr2, computed with PBE.

abc: 3.9498 3.9498 3.5608
angles: 90.00 90.00 90.00
Space group P4/mmm (No. 123)
Symmetry-distinct sites (fractional):
Al1 0.0000 0.0000 0.0000 (multiplicity 1)
Co1 0.5000 0.5000 0.0000 (multiplicity 1)
H1 0.5000 0.5000 0.5000 (multiplicity 1)
Ir1 0.0000 0.5000 0.5000 (multiplicity 2)

***

[5]
An optimized crystal structure of Rb2PuMnS4, computed with PBE.

## Properties
Its formation energy from raw total energies is -1050 meV per atom.

abc: 8.2050 8.4201 12.0741
angles: 90.00 90.00 90.00
Space group Imma (No. 74)
Symmetry-distinct sites (fractional):
Rb1 0.0000 0.0000 0.0000 (multiplicity 4)
Rb2 0.2500 0.2500 0.2500 (multiplicity 4)
Pu1 0.0000 0.0000 0.5000 (multiplicity 4)
Mn1 0.2500 0.2500 0.7500 (multiplicity 4)
S1 0.0000 0.0555 0.7304 (multiplicity 8)
S2 0.2086 0.2500 0.5140 (multiplicity 8)

***

[6]
An optimized crystal structure of LuPuAl2, computed with PBE.

## Properties
Its formation energy is -0.252 eV per atom. Its distance to the lowest polymorph of the same formula is 3 meV/atom.

abc: 7.0983 7.0983 7.0983
angles: 90.00 90.00 90.00
Space group Fm-3m (No. 225)
Symmetry-distinct sites (fractional):
Lu1 0.0000 0.0000 0.0000 (multiplicity 4)
Pu1 0.0000 0.0000 0.5000 (multiplicity 4)
Al1 0.2500 0.2500 0.2500 (multiplicity 8)

***

| no. | calculated total energy (eV per atom) | magnetization (μB per formula unit) |
| --- | --- | --- |
| 1 | -6.53 | 0.00 |
| 2 | -4.62 | 0.00 |
| 3 | -5.80 | 0.00 |
| 4 | -6.63 | 0.00 |
| 5 | -6.29 | 0.37 |
| 6 | -6.84 | 5.32 |